one:
The following is a PBE-GGA calculation of MgSiTe after structural relaxation, from Alexandria via LeMat-Bulk.

a = 3.855 Å, b = 4.689 Å, c = 4.703 Å
α = 86.48°, β = 65.91°, γ = 89.91°
Positions (direct):
Mg 0.000 0.000 0.000
Si 0.718 0.207 0.558
Te 0.253 0.605 0.487

Properties
SG ... P1, No. 1
Volume ... 25.8 A^3/atom
Total magnetization ... 0.0 μB/f.u.
D(E_F) ... 1.1 states/eV/f.u.

=====

two:
The following is a PBE-GGA calculation of MgSiTe after structural relaxation, from Alexandria via LeMat-Bulk.

a = 4.102 Å, b = 6.328 Å, c = 7.676 Å
α = 65.97°, β = 84.02°, γ = 74.16°
Positions (direct):
Mg 0.000 0.000 0.000
Mg 0.486 0.315 0.374
Si 0.210 0.766 0.775
Si 0.706 0.857 0.596
Te 0.367 0.313 0.011
Te 0.853 0.641 0.357

Properties
SG ... P1, No. 1
Volume ... 29.2 A^3/atom
Total magnetization ... 0.0 μB/f.u.

=====

Top of the stability list: two, leading by 262 meV/atom.

=====

one:
The following is a PBE-GGA calculation of Mg3SiTe after structural relaxation, from Alexandria via LeMat-Bulk.

a = 5.311 Å, b = 5.311 Å, c = 5.311 Å
α = 90.00°, β = 90.00°, γ = 90.00°
Positions (direct):
Mg 0.000 0.000 0.500
Mg 0.000 0.500 0.000
Mg 0.500 0.000 0.000
Si 0.500 0.500 0.500
Te 0.000 0.000 0.000

Properties
SG ... Pm-3m, No. 221
Volume ... 30.0 A^3/atom
Total magnetization ... 0.0 μB/f.u.
D(E_F) ... 1.7 states/eV/f.u.

=====

two:
The following is a PBE-GGA calculation of Mg3SiTe after structural relaxation, from Alexandria via LeMat-Bulk.

a = 5.041 Å, b = 5.041 Å, c = 5.041 Å
α = 90.00°, β = 90.00°, γ = 90.00°
Positions (direct):
Mg 0.000 0.000 0.500
Mg 0.000 0.500 0.000
Mg 0.500 0.000 0.000
Si 0.000 0.000 0.000
Te 0.500 0.500 0.500

Properties
SG ... Pm-3m, No. 221
Volume ... 25.6 A^3/atom
Total magnetization ... 0.0 μB/f.u.
D(E_F) ... 0.0 states/eV/f.u.

=====

Top of the stability list: two, leading by 802 meV/atom.